[1]
# LaTbAs2Rh5 PBE relaxed
data_LaTbAs2Rh5
_chemical_formula_sum 'La1 Tb1 As2 Rh5'
_cell_length_a 4.084
_cell_length_b 4.084
_cell_length_c 11.338
_cell_angle_alpha 90.00
_cell_angle_beta 90.00
_cell_angle_gamma 90.00
_space_group_name_H-M_alt 'P 4/m m m'
_space_group_IT_number 123
_space_group_name_Hall '-P 4 2'
loop_
_atom_site_label
_atom_site_fract_x
_atom_site_fract_y
_atom_site_fract_z
La1 0.000 0.000 0.000
Tb1 0.000 0.000 0.500
As1 0.500 0.500 0.211
Rh1 0.000 0.500 0.318
Rh2 0.500 0.500 0.000
# - Electronic total energy: -6.781 eV per atom
# - Energy relative to the elements: -601.6 meV per atom


[2]
# La2TbAs3Rh4 PBE relaxed
data_La2TbAs3Rh4
_chemical_formula_sum 'La2 Tb1 As3 Rh4'
_cell_length_a 4.175
_cell_length_b 4.175
_cell_length_c 11.486
_cell_angle_alpha 90.00
_cell_angle_beta 90.00
_cell_angle_gamma 90.00
_space_group_name_H-M_alt 'P -4 m 2'
_space_group_IT_number 115
loop_
_space_group_symop_operation_xyz
'x,y,z'
'y,-x,-z'
'-x,-y,z'
'-y,x,-z'
'-x,y,z'
'-y,-x,-z'
'x,-y,z'
'y,x,-z'
loop_
_atom_site_label
_atom_site_fract_x
_atom_site_fract_y
_atom_site_fract_z
La1 0.000 0.500 0.228
Tb1 0.000 0.000 0.500
As1 0.000 0.500 0.875
As2 0.500 0.500 0.500
Rh1 0.000 0.000 0.000
Rh2 0.000 0.500 0.660
Rh3 0.500 0.500 0.000
# - Electronic total energy: -6.783 eV per atom
# - Energy relative to the elements: -998.8 meV per atom


[3]
# LaTc2AsRh PBE relaxed
data_LaTc2AsRh
_chemical_formula_sum 'La1 Tc2 As1 Rh1'
_cell_length_a 4.843
_cell_length_b 4.843
_cell_length_c 4.841
_cell_angle_alpha 90.00
_cell_angle_beta 90.00
_cell_angle_gamma 90.00
_space_group_name_H-M_alt 'P 4/m m m'
_space_group_IT_number 123
_space_group_name_Hall '-P 4 2'
loop_
_atom_site_label
_atom_site_fract_x
_atom_site_fract_y
_atom_site_fract_z
La1 0.000 0.000 0.000
Tc1 0.000 0.500 0.000
As1 0.500 0.500 0.500
Rh1 0.000 0.000 0.500
# - Electronic total energy: -5.655 eV per atom
# - Energy relative to the elements: 1876.8 meV per atom


[4]
# La2TcAs4Rh3 PBE relaxed
data_La2TcAs4Rh3
_chemical_formula_sum 'La2 Tc1 As4 Rh3'
_cell_length_a 4.359
_cell_length_b 4.359
_cell_length_c 9.973
_cell_angle_alpha 90.00
_cell_angle_beta 90.00
_cell_angle_gamma 90.00
_space_group_name_H-M_alt 'P -4 m 2'
_space_group_IT_number 115
loop_
_space_group_symop_operation_xyz
'x,y,z'
'y,-x,-z'
'-x,-y,z'
'-y,x,-z'
'-x,y,z'
'-y,-x,-z'
'x,-y,z'
'y,x,-z'
loop_
_atom_site_label
_atom_site_fract_x
_atom_site_fract_y
_atom_site_fract_z
La1 0.000 0.500 0.241
Tc1 0.000 0.000 0.500
As1 0.000 0.000 0.000
As2 0.000 0.500 0.628
As3 0.500 0.500 0.000
Rh1 0.000 0.500 0.879
Rh2 0.500 0.500 0.500
# - Electronic total energy: -7.007 eV per atom
# - Energy relative to the elements: -920.0 meV per atom


[5]
# La2TeAsRh6 PBE relaxed
data_La2TeAsRh6
_chemical_formula_sum 'La4 Te2 As2 Rh12'
_cell_length_a 5.548
_cell_length_b 8.689
_cell_length_c 8.434
_cell_angle_alpha 90.00
_cell_angle_beta 90.00
_cell_angle_gamma 90.00
_space_group_name_H-M_alt 'P m m n'
_space_group_IT_number 59
loop_
_space_group_symop_operation_xyz
'x,y,z'
'-x,-y,-z'
'-x+1/2,-y+1/2,z'
'x+1/2,y+1/2,-z'
'x+1/2,-y,-z'
'-x+1/2,y,z'
'-x,y+1/2,-z'
'x,-y+1/2,z'
loop_
_atom_site_label
_atom_site_fract_x
_atom_site_fract_y
_atom_site_fract_z
La1 0.250 0.011 0.221
Te1 0.250 0.250 0.763
As1 0.250 0.750 0.748
Rh1 0.004 0.250 0.489
Rh2 0.006 0.750 0.986
Rh3 0.250 0.501 0.591
# - Electronic total energy: -6.804 eV per atom


[6]
# La4Te2AsRh PBE relaxed
data_La4Te2AsRh
_chemical_formula_sum 'La4 Te2 As1 Rh1'
_cell_length_a 7.655
_cell_length_b 4.372
_cell_length_c 7.877
_cell_angle_alpha 90.00
_cell_angle_beta 107.94
_cell_angle_gamma 90.00
_space_group_name_H-M_alt 'P 1 2/m 1'
_space_group_IT_number 10
loop_
_space_group_symop_operation_xyz
'x,y,z'
'-x,-y,-z'
'-x,y,-z'
'x,-y,z'
loop_
_atom_site_label
_atom_site_fract_x
_atom_site_fract_y
_atom_site_fract_z
La1 0.234 0.000 0.217
La2 0.248 0.500 0.783
Te1 0.000 0.000 0.500
Te2 0.500 0.500 0.500
As1 0.500 0.000 0.000
Rh1 0.000 0.500 0.000
# - Electronic total energy: -6.109 eV per atom


[7]
# La2ThAs3Rh4 PBE relaxed
data_La2ThAs3Rh4
_chemical_formula_sum 'La2 Th1 As3 Rh4'
_cell_length_a 4.274
_cell_length_b 4.274
_cell_length_c 11.357
_cell_angle_alpha 90.00
_cell_angle_beta 90.00
_cell_angle_gamma 90.00
_space_group_name_H-M_alt 'P -4 m 2'
_space_group_IT_number 115
loop_
_space_group_symop_operation_xyz
'x,y,z'
'y,-x,-z'
'-x,-y,z'
'-y,x,-z'
'-x,y,z'
'-y,-x,-z'
'x,-y,z'
'y,x,-z'
loop_
_atom_site_label
_atom_site_fract_x
_atom_site_fract_y
_atom_site_fract_z
La1 0.000 0.500 0.216
Th1 0.000 0.000 0.500
As1 0.000 0.500 0.873
As2 0.500 0.500 0.500
Rh1 0.000 0.000 0.000
Rh2 0.000 0.500 0.654
Rh3 0.500 0.500 0.000
# - Electronic total energy: -7.042 eV per atom
# - Energy relative to the elements: -979.3 meV per atom


[8]
# La2TiAs3Rh4 PBE relaxed
data_La2TiAs3Rh4
_chemical_formula_sum 'La2 Ti1 As3 Rh4'
_cell_length_a 4.181
_cell_length_b 4.181
_cell_length_c 10.754
_cell_angle_alpha 90.00
_cell_angle_beta 90.00
_cell_angle_gamma 90.00
_space_group_name_H-M_alt 'P -4 m 2'
_space_group_IT_number 115
loop_
_space_group_symop_operation_xyz
'x,y,z'
'y,-x,-z'
'-x,-y,z'
'-y,x,-z'
'-x,y,z'
'-y,-x,-z'
'x,-y,z'
'y,x,-z'
loop_
_atom_site_label
_atom_site_fract_x
_atom_site_fract_y
_atom_site_fract_z
La1 0.000 0.500 0.242
Ti1 0.000 0.000 0.500
As1 0.000 0.500 0.865
As2 0.500 0.500 0.500
Rh1 0.000 0.000 0.000
Rh2 0.000 0.500 0.634
Rh3 0.500 0.500 0.000
# - Electronic total energy: -7.090 eV per atom
# - Energy relative to the elements: -979.8 meV per atom